# HgRuI3 (PBE, relaxed)
data_HgRuI3
_chemical_formula_sum 'Hg1 Ru1 I3'
_space_group_name_H-M_alt 'P m -3 m'
_space_group_IT_number 221
_space_group_name_Hall '-P 4 2 3'
_cell_length_a 5.902
_cell_length_b 5.902
_cell_length_c 5.902
_cell_angle_alpha 90.00
_cell_angle_beta 90.00
_cell_angle_gamma 90.00
loop_
_atom_site_label
_atom_site_type_symbol
_atom_site_fract_x
_atom_site_fract_y
_atom_site_fract_z
Hg1 Hg 0.000 0.000 0.000
Ru1 Ru 0.500 0.500 0.500
I1 I 0.000 0.000 0.500
# Total magnetization (μB per formula unit): 3.17
# DOS(E_F) (states/eV/cell): 6.863


# SiHgRuI2 (PBE, relaxed)
data_SiHgRuI2
_chemical_formula_sum 'Si1 Hg1 Ru1 I2'
_space_group_name_H-M_alt 'P 4/m m m'
_space_group_IT_number 123
_space_group_name_Hall '-P 4 2'
_cell_length_a 6.173
_cell_length_b 6.173
_cell_length_c 4.809
_cell_angle_alpha 90.00
_cell_angle_beta 90.00
_cell_angle_gamma 90.00
loop_
_atom_site_label
_atom_site_type_symbol
_atom_site_fract_x
_atom_site_fract_y
_atom_site_fract_z
Si1 Si 0.000 0.000 0.000
Hg1 Hg 0.000 0.000 0.500
Ru1 Ru 0.500 0.500 0.000
I1 I 0.000 0.500 0.500
# Total magnetization (μB per formula unit): 2.89
# DOS(E_F) (states/eV/cell): 5.140


Number 1: formation energy (no corrections) 0.996 eV/atom, E_tot -1.8494 eV per atom. Number 2: formation energy (no corrections) 1.453 eV/atom, E_tot -2.1668 eV per atom.